(1)
# RbVH4O2F4, optimized geometry, DFT PBEsol
# E ... -5.50 eV per atom
data_RbVH4O2F4
_space_group_name_H-M_alt 'C 1 2/c 1'
_space_group_IT_number 15
_cell_length_a 11.858
_cell_length_b 6.246
_cell_length_c 9.050
_cell_angle_alpha 90.00
_cell_angle_beta 125.11
_cell_angle_gamma 90.00
loop_
_space_group_symop_operation_xyz
'x,y,z'
'-x,-y,-z'
'-x,y,-z+1/2'
'x,-y,z+1/2'
'x+1/2,y+1/2,z'
'-x+1/2,-y+1/2,-z'
'-x+1/2,y+1/2,-z+1/2'
'x+1/2,-y+1/2,z+1/2'
loop_
_atom_site_label
_atom_site_type_symbol
_atom_site_fract_x
_atom_site_fract_y
_atom_site_fract_z
Rb1 Rb 0.000 0.224 0.250
V1 V 0.250 0.250 0.000
H1 H 0.047 0.281 0.652
H2 H 0.181 0.410 0.685
O1 O 0.133 0.366 0.744
F1 F 0.085 0.164 0.979
F2 F 0.240 0.473 0.582



(2)
# TaBeSe2, optimized geometry, DFT PBEsol
# E ... -6.10 eV per atom
# Uncorrected formation energy ... -0.15 eV per formula unit
data_TaBeSe2
_space_group_name_H-M_alt 'I -4 2 d'
_space_group_IT_number 122
_space_group_name_Hall 'I -4 2bw'
_cell_length_a 5.676
_cell_length_b 5.676
_cell_length_c 9.668
_cell_angle_alpha 90.00
_cell_angle_beta 90.00
_cell_angle_gamma 90.00
loop_
_atom_site_label
_atom_site_type_symbol
_atom_site_fract_x
_atom_site_fract_y
_atom_site_fract_z
Ta1 Ta 0.000 0.000 0.000
Be1 Be 0.000 0.000 0.500
Se1 Se 0.199 0.750 0.625



(3)
# MnSiAg, optimized geometry, DFT PBEsol
# E ... -5.89 eV per atom
# Uncorrected formation energy ... 1.14 eV per formula unit
data_MnSiAg
_space_group_name_H-M_alt 'F -4 3 m'
_space_group_IT_number 216
_space_group_name_Hall 'F -4 2 3'
_cell_length_a 5.803
_cell_length_b 5.803
_cell_length_c 5.803
_cell_angle_alpha 90.00
_cell_angle_beta 90.00
_cell_angle_gamma 90.00
loop_
_atom_site_label
_atom_site_type_symbol
_atom_site_fract_x
_atom_site_fract_y
_atom_site_fract_z
Mn1 Mn 0.000 0.000 0.000
Si1 Si 0.250 0.250 0.750
Ag1 Ag 0.250 0.250 0.250



The evaluated magnetic moment for the records listed, in turn: 0.1667, 0.0003, 0.9560 μB per atom.